11
Lattice="2.915 -5.174 0.000 2.915 5.174 0.000 -1.356 0.000 5.091" Properties=species:S:1:pos:R:3 comment="GGA-PBE Li2Dy2TeO6, optimized geometry" formation_energy_uncorrected_ev_per_atom=-2.2903 pbc="T T T"
Li 2.915 3.716 0.000
Li 2.915 -3.716 0.000
Dy 2.237 1.700 2.546
Dy 2.237 -1.700 2.546
Te -0.678 0.000 2.546
O 0.213 1.728 3.667
O 1.128 0.000 1.380
O 0.213 -1.728 3.667
O 4.261 1.728 1.424
O 3.346 0.000 3.711
O 4.261 -1.728 1.424

=====

16
Lattice="4.777 -4.428 0.000 4.777 4.428 0.000 -4.721 0.000 4.809" Properties=species:S:1:pos:R:3 comment="GGA-PBE Li2DyTlO4, optimized geometry" formation_energy_uncorrected_ev_per_atom=-1.9584 pbc="T T T"
Li 0.000 0.000 0.000
Li -2.360 0.000 2.404
Li 2.389 2.214 0.000
Li 0.028 -2.214 2.404
Dy 0.028 2.214 2.404
Dy 2.389 -2.214 0.000
Tl 4.777 0.000 0.000
Tl 2.417 0.000 2.404
O 0.159 2.316 4.690
O 2.314 2.316 2.523
O 2.448 0.081 0.069
O 0.088 -0.081 2.473
O 4.746 0.081 2.336
O 2.386 -0.081 4.740
O 2.520 -2.316 2.286
O 4.674 -2.316 0.119

=====

5
Lattice="4.781 0.000 0.000 0.000 4.781 0.000 0.000 0.000 4.312" Properties=species:S:1:pos:R:3 comment="GGA-PBE LiDy2TlO, optimized geometry" formation_energy_uncorrected_ev_per_atom=-1.3872 pbc="T T T"
Li 0.000 0.000 0.000
Dy 0.000 2.390 2.156
Dy 2.390 0.000 2.156
Tl 2.390 2.390 0.000
O 0.000 0.000 2.156

=====

Number 1: spin magnetization 0.0000 μB per atom. Number 2: spin magnetization 0.0000 μB per atom. Number 3: spin magnetization 0.0000 μB per atom.